The following is a PBE-GGA calculation of a relaxed structure of LuBr3, from the Alexandria database.

Summary:
The magnetic moment is 0.00 μB/atom. The final energy is -4.18 eV per atom. The calculation puts the density of states at the Fermi level at 0.00 states/eV per cell. The calculation puts the uncorrected formation energy at -173 kJ per mole of atoms.

abc: 3.6582 11.8566 7.2739
angles: 90.00 90.00 90.00
With the nearest neighbours (Å) after each atom.
Space group Imm2 (No. 44)
Unique sites:
Lu 0.0000 0.0000 0.0000 [2 per cell]  6 Br 2.77
Br 0.0000 0.3478 0.6433 [4 per cell]  2 Lu 2.77
Br 0.0000 0.5000 0.2137 [2 per cell]  2 Lu 2.77